The following is a PBE-GGA calculation of crystalline Na3Hf3CrSe8 at its relaxed geometry, from Alexandria.

Output
Formation energy (no corrections) in kJ/mol of formula units: -1690

Unit cell a=8.433 b=8.433 c=8.433 alpha=53.38 beta=53.38 gamma=53.38
Sites, in units of the cell vectors:
Na: 0.000 0.500 0.500
Na: 0.500 0.000 0.500
Na: 0.500 0.500 0.000
Hf: 0.000 0.000 0.500
Hf: 0.000 0.500 0.000
Hf: 0.500 0.000 0.000
Cr: 0.500 0.500 0.500
Se: 0.241 0.241 0.241
Se: 0.245 0.734 0.734
Se: 0.266 0.266 0.755
Se: 0.266 0.755 0.266
Se: 0.734 0.245 0.734
Se: 0.734 0.734 0.245
Se: 0.755 0.266 0.266
Se: 0.759 0.759 0.759


The following is a PBE-GGA calculation of crystalline AcLaGdTm at its relaxed geometry, from Alexandria.

Output
Energy relative to the elements in eV/f.u.: 0.36

Unit cell a=5.893 b=5.893 c=5.893 alpha=60.00 beta=60.00 gamma=60.00
Sites, in units of the cell vectors:
Ac: 0.000 0.000 0.000
La: 0.500 0.500 0.500
Gd: 0.250 0.250 0.250
Tm: 0.750 0.750 0.750


The following is a PBE-GGA calculation of crystalline Sr2CoTe at its relaxed geometry, from Alexandria.

Output
Formation energy (no corrections) in kJ/mol of formula units: -125

Unit cell a=8.197 b=8.197 c=8.197 alpha=32.07 beta=32.07 gamma=32.07
Sites, in units of the cell vectors:
Sr: 0.247 0.247 0.247
Sr: 0.753 0.753 0.753
Co: 0.500 0.500 0.500
Te: 0.000 0.000 0.000


The following is a PBE-GGA calculation of crystalline SrTlHgAu at its relaxed geometry, from Alexandria.

Output
Energy relative to the elements in eV/f.u.: -1.33
Polymorph energy (0 for the lowest one) in eV per atom: 0.100

Unit cell a=4.368 b=4.368 c=12.689 alpha=90.00 beta=90.00 gamma=90.00
Sites, in units of the cell vectors:
Sr: 0.250 0.250 0.172
Sr: 0.750 0.750 0.828
Tl: 0.250 0.750 0.500
Tl: 0.750 0.250 0.500
Hg: 0.250 0.250 0.695
Hg: 0.750 0.750 0.305
Au: 0.250 0.250 0.924
Au: 0.750 0.750 0.076


The following is a PBE-GGA calculation of crystalline Ca2Pb2F at its relaxed geometry, from Alexandria.

Output
Formation energy (no corrections) in kJ/mol of formula units: -583

Unit cell a=6.823 b=6.823 c=5.653 alpha=90.00 beta=90.00 gamma=90.00
Sites, in units of the cell vectors:
Ca: 0.177 0.323 0.000
Ca: 0.323 0.823 0.000
Ca: 0.677 0.177 0.000
Ca: 0.823 0.677 0.000
Pb: 0.163 0.663 0.500
Pb: 0.337 0.163 0.500
Pb: 0.663 0.837 0.500
Pb: 0.837 0.337 0.500
F: 0.000 0.000 0.000
F: 0.500 0.500 0.000


The following is a PBE-GGA calculation of crystalline Lu3Sb at its relaxed geometry, from Alexandria.

Output
Formation energy (no corrections) in kJ/mol of formula units: -131
Polymorph energy (0 for the lowest one) in eV per atom: 0.100

Unit cell a=3.592 b=5.166 c=5.802 alpha=90.00 beta=90.00 gamma=90.00
Sites, in units of the cell vectors:
Lu: 0.000 0.000 0.000
Lu: 0.000 0.500 0.373
Lu: 0.500 0.000 0.523
Sb: 0.500 0.500 0.861


The following is a PBE-GGA calculation of crystalline Cs2H3I4 at its relaxed geometry, from Alexandria.

Output
Final energy in eV/cell: -47.07

Unit cell a=11.592 b=11.592 c=7.593 alpha=109.08 beta=109.08 gamma=112.73
Sites, in units of the cell vectors:
Cs: 0.098 0.350 0.477
Cs: 0.350 0.098 0.977
Cs: 0.650 0.902 0.023
Cs: 0.902 0.650 0.523
H: 0.271 0.729 0.250
H: 0.438 0.489 0.215
H: 0.489 0.438 0.715
H: 0.511 0.562 0.285
H: 0.562 0.511 0.785
H: 0.729 0.271 0.750
I: 0.085 0.228 0.909
I: 0.228 0.085 0.409
I: 0.272 0.727 0.502
I: 0.273 0.728 0.998
I: 0.727 0.272 0.002
I: 0.728 0.273 0.498
I: 0.772 0.915 0.591
I: 0.915 0.772 0.091


The following is a PBE-GGA calculation of crystalline InGaTeOs2 at its relaxed geometry, from Alexandria.

Output
Formation energy (no corrections) in kJ/mol of formula units: 884

Unit cell a=4.861 b=4.861 c=5.823 alpha=90.00 beta=90.00 gamma=90.00
Sites, in units of the cell vectors:
In: 0.000 0.000 0.000
Ga: 0.500 0.500 0.000
Te: 0.000 0.000 0.500
Os: 0.000 0.500 0.500
Os: 0.500 0.000 0.500


The following is a PBE-GGA calculation of crystalline Na2SmInS4 at its relaxed geometry, from Alexandria.

Output
Formation energy (no corrections) in kJ/mol of formula units: -1010

Unit cell a=6.852 b=3.964 c=7.139 alpha=90.00 beta=109.03 gamma=90.00
Sites, in units of the cell vectors:
Na: 0.000 0.000 0.000
Na: 0.500 0.500 0.000
Sm: 0.000 0.500 0.500
In: 0.500 0.000 0.500
S: 0.250 0.000 0.732
S: 0.273 0.500 0.278
S: 0.727 0.500 0.722
S: 0.750 0.000 0.268


The following is a PBE-GGA calculation of crystalline Zn6Cu5Ir at its relaxed geometry, from Alexandria.

Output
Energy relative to the elements in eV/f.u.: -1.33
Polymorph energy (0 for the lowest one) in eV per atom: 0.000

Unit cell a=6.082 b=6.082 c=7.209 alpha=90.13 beta=90.13 gamma=143.35
Sites, in units of the cell vectors:
Zn: 0.166 0.833 0.751
Zn: 0.167 0.834 0.249
Zn: 0.498 0.498 0.246
Zn: 0.502 0.502 0.754
Zn: 0.833 0.166 0.751
Zn: 0.834 0.167 0.249
Cu: 0.000 0.000 0.000
Cu: 0.330 0.670 0.000
Cu: 0.331 0.669 0.500
Cu: 0.669 0.331 0.500
Cu: 0.670 0.330 0.000
Ir: 0.000 0.000 0.500


The following is a PBE-GGA calculation of crystalline BaW2Au at its relaxed geometry, from Alexandria.

Output
Energy relative to the elements in eV/f.u.: 4.58
Polymorph energy (0 for the lowest one) in eV per atom: 0.630

Unit cell a=2.881 b=2.881 c=10.070 alpha=90.00 beta=90.00 gamma=90.19
Sites, in units of the cell vectors:
Ba: 0.000 0.000 0.000
W: 0.500 0.500 0.293
W: 0.500 0.500 0.707
Au: 0.000 0.000 0.500


The following is a PBE-GGA calculation of crystalline Rb2Tl12Pb5 at its relaxed geometry, from Alexandria.

Output
Energy relative to the elements in eV/f.u.: -0.67

Unit cell a=8.764 b=8.764 c=8.764 alpha=82.59 beta=82.59 gamma=82.59
Sites, in units of the cell vectors:
Rb: 0.164 0.164 0.164
Rb: 0.836 0.836 0.836
Tl: 0.146 0.146 0.655
Tl: 0.146 0.655 0.146
Tl: 0.206 0.500 0.794
Tl: 0.206 0.794 0.500
Tl: 0.345 0.854 0.854
Tl: 0.500 0.206 0.794
Tl: 0.500 0.794 0.206
Tl: 0.655 0.146 0.146
Tl: 0.794 0.206 0.500
Tl: 0.794 0.500 0.206
Tl: 0.854 0.345 0.854
Tl: 0.854 0.854 0.345
Pb: 0.000 0.500 0.500
Pb: 0.403 0.403 0.403
Pb: 0.500 0.000 0.500
Pb: 0.500 0.500 0.000
Pb: 0.597 0.597 0.597


The following is a PBE-GGA calculation of crystalline CrInIN2 at its relaxed geometry, from Alexandria.

Output
Formation energy (no corrections) in kJ/mol of formula units: 416
Polymorph energy (0 for the lowest one) in eV per atom: 0.000

Unit cell a=3.979 b=3.979 c=5.586 alpha=90.00 beta=90.00 gamma=90.00
Sites, in units of the cell vectors:
Cr: 0.000 0.000 0.000
In: 0.500 0.500 0.500
I: 0.000 0.000 0.500
N: 0.000 0.500 0.000
N: 0.500 0.000 0.000


The following is a PBE-GGA calculation of crystalline Li4ZnNi2 at its relaxed geometry, from Alexandria.

Output
Energy relative to the elements in eV/f.u.: -0.19

Unit cell a=8.831 b=8.831 c=2.571 alpha=90.00 beta=90.00 gamma=90.00
Sites, in units of the cell vectors:
Li: 0.076 0.295 0.000
Li: 0.205 0.576 0.500
Li: 0.295 0.076 0.000
Li: 0.424 0.795 0.500
Li: 0.576 0.205 0.500
Li: 0.705 0.924 0.000
Li: 0.795 0.424 0.500
Li: 0.924 0.705 0.000
Zn: 0.000 0.000 0.500
Zn: 0.500 0.500 0.000
Ni: 0.169 0.831 0.000
Ni: 0.331 0.331 0.500
Ni: 0.669 0.669 0.500
Ni: 0.831 0.169 0.000


The following is a PBE-GGA calculation of crystalline ThGeN at its relaxed geometry, from Alexandria.

Output
Formation energy (no corrections) in kJ/mol of formula units: -337

Unit cell a=4.157 b=4.097 c=7.500 alpha=90.00 beta=104.54 gamma=90.00
Sites, in units of the cell vectors:
Th: 0.178 0.250 0.344
Th: 0.822 0.750 0.656
Ge: 0.403 0.250 0.908
Ge: 0.597 0.750 0.092
N: 0.254 0.750 0.503
N: 0.746 0.250 0.497


The following is a PBE-GGA calculation of crystalline Mg2Ga2Ag at its relaxed geometry, from Alexandria.

Output
Energy relative to the elements in eV/f.u.: 0.13
Polymorph energy (0 for the lowest one) in eV per atom: 0.163

Unit cell a=7.730 b=7.730 c=3.383 alpha=90.00 beta=90.00 gamma=90.00
Sites, in units of the cell vectors:
Mg: 0.142 0.358 0.000
Mg: 0.358 0.858 0.000
Mg: 0.642 0.142 0.000
Mg: 0.858 0.642 0.000
Ga: 0.159 0.659 0.500
Ga: 0.341 0.159 0.500
Ga: 0.659 0.841 0.500
Ga: 0.841 0.341 0.500
Ag: 0.000 0.000 0.000
Ag: 0.500 0.500 0.000


The following is a PBE-GGA calculation of crystalline LiSbAs2Br at its relaxed geometry, from Alexandria.

Output
Formation energy (no corrections) in kJ/mol of formula units: 154
Polymorph energy (0 for the lowest one) in eV per atom: 0.000

Unit cell a=5.322 b=5.322 c=5.924 alpha=90.00 beta=90.00 gamma=90.00
Sites, in units of the cell vectors:
Li: 0.000 0.000 0.000
Sb: 0.500 0.500 0.500
As: 0.000 0.500 0.500
As: 0.500 0.000 0.500
Br: 0.500 0.500 0.000


The following is a PBE-GGA calculation of crystalline NdSm2Y6 at its relaxed geometry, from Alexandria.

Output
Energy relative to the elements in eV/f.u.: 0.86
Polymorph energy (0 for the lowest one) in eV per atom: 0.000

Unit cell a=9.649 b=9.649 c=6.618 alpha=98.59 beta=98.59 gamma=95.59
Sites, in units of the cell vectors:
Nd: 0.120 0.880 0.750
Nd: 0.880 0.120 0.250
Sm: 0.335 0.386 0.629
Sm: 0.386 0.335 0.129
Sm: 0.614 0.665 0.871
Sm: 0.665 0.614 0.371
Y: 0.050 0.221 0.816
Y: 0.060 0.460 0.271
Y: 0.221 0.050 0.316
Y: 0.277 0.652 0.998
Y: 0.348 0.723 0.502
Y: 0.460 0.060 0.771
Y: 0.540 0.940 0.229
Y: 0.652 0.277 0.498
Y: 0.723 0.348 0.002
Y: 0.779 0.950 0.684
Y: 0.940 0.540 0.729
Y: 0.950 0.779 0.184


The following is a PBE-GGA calculation of crystalline CoCuHgOsRu at its relaxed geometry, from Alexandria.

Output
Energy relative to the elements in eV/f.u.: 2.25
Polymorph energy (0 for the lowest one) in eV per atom: 0.172

Unit cell a=2.766 b=6.869 c=6.869 alpha=35.97 beta=90.00 gamma=90.00
Sites, in units of the cell vectors:
Co: 0.000 0.000 0.000
Cu: 0.000 0.278 0.278
Hg: 0.000 0.643 0.643
Os: 0.500 0.842 0.842
Ru: 0.500 0.453 0.453


The following is a PBE-GGA calculation of crystalline K2SiF at its relaxed geometry, from Alexandria.

Output
Formation energy (no corrections) in kJ/mol of formula units: -196
Polymorph energy (0 for the lowest one) in eV per atom: 0.243

Unit cell a=5.536 b=5.536 c=5.536 alpha=60.00 beta=60.00 gamma=60.00
Sites, in units of the cell vectors:
K: 0.250 0.250 0.250
K: 0.750 0.750 0.750
Si: 0.000 0.000 0.000
F: 0.500 0.500 0.500


The following is a PBE-GGA calculation of crystalline Pm2PuTh3Te6 at its relaxed geometry, from Alexandria.

Output
Formation energy (no corrections) in kJ/mol of formula units: -1338

Unit cell a=10.095 b=10.095 c=9.042 alpha=106.21 beta=106.21 gamma=25.15
Sites, in units of the cell vectors:
Pm: 0.166 0.166 0.335
Pm: 0.834 0.834 0.665
Pu: 0.500 0.500 0.000
Th: 0.169 0.169 0.840
Th: 0.500 0.500 0.500
Th: 0.831 0.831 0.160
Te: 0.000 0.000 0.244
Te: 0.000 0.000 0.756
Te: 0.332 0.332 0.415
Te: 0.336 0.336 0.912
Te: 0.664 0.664 0.088
Te: 0.668 0.668 0.585


The following is a PBE-GGA calculation of crystalline SrPtW2 at its relaxed geometry, from Alexandria.

Output
Energy relative to the elements in eV/f.u.: 2.33
Polymorph energy (0 for the lowest one) in eV per atom: 0.257

Unit cell a=4.967 b=4.967 c=6.300 alpha=98.02 beta=98.02 gamma=33.20
Sites, in units of the cell vectors:
Sr: 0.000 0.000 0.000
Pt: 0.238 0.238 0.715
W: 0.521 0.521 0.491
W: 0.778 0.778 0.363


The following is a PBE-GGA calculation of crystalline SrMgSn2Se4 at its relaxed geometry, from Alexandria.

Output
Formation energy (no corrections) in kJ/mol of formula units: -743

Unit cell a=7.383 b=4.256 c=7.400 alpha=90.00 beta=109.32 gamma=90.00
Sites, in units of the cell vectors:
Sr: 0.000 0.000 0.000
Mg: 0.500 0.500 0.000
Sn: 0.000 0.500 0.500
Sn: 0.500 0.000 0.500
Se: 0.265 0.500 0.244
Se: 0.272 0.000 0.766
Se: 0.728 0.000 0.234
Se: 0.735 0.500 0.756